# KInH (GGA-PBE, relaxed)
# Density of states at the Fermi level   1.430 states/eV/cell
data_KInH
_cell_length_a 3.909
_cell_length_b 6.773
_cell_length_c 5.574
_cell_angle_alpha 90.00
_cell_angle_beta 90.00
_cell_angle_gamma 90.00
_symmetry_space_group_name_H-M 'P m c 21'
_symmetry_Int_Tables_number 26
_symmetry_space_group_name_Hall 'P 2c -2'
loop_
_atom_site_label
_atom_site_type_symbol
_atom_site_fract_x
_atom_site_fract_y
_atom_site_fract_z
_atom_site_occupancy
K1 K 0.000 0.161 0.000 1
In1 In 0.500 0.423 0.501 1
H1 H 0.500 0.142 0.502 1

# NbIr3Os (GGA-PBE, relaxed)
# Density of states at the Fermi level   11.885 states/eV/cell
# Energy of formation   2.6 eV per formula unit
data_NbIr3Os
_cell_length_a 6.4634
_cell_length_b 6.4634
_cell_length_c 4.8189
_cell_angle_alpha 90.00
_cell_angle_beta 90.00
_cell_angle_gamma 120.00
_symmetry_space_group_name_H-M 'P 63/m m c'
_symmetry_Int_Tables_number 194
_symmetry_space_group_name_Hall '-P 6c 2c'
loop_
_atom_site_label
_atom_site_type_symbol
_atom_site_fract_x
_atom_site_fract_y
_atom_site_fract_z
_atom_site_occupancy
Nb1 Nb 0.3333 0.6667 0.2500 1
Ir1 Ir 0.2033 0.4066 0.7500 1
Os1 Os 0.0000 0.0000 0.0000 1

# Mn2HgCl2 (GGA-PBE, relaxed)
# Density of states at the Fermi level   4.320 states/eV/cell
# Uncorrected formation energy   140 meV/atom
data_Mn2HgCl2
_cell_length_a 8.475
_cell_length_b 8.475
_cell_length_c 3.127
_cell_angle_alpha 90.00
_cell_angle_beta 90.00
_cell_angle_gamma 90.00
_symmetry_space_group_name_H-M 'P 4/m b m'
_symmetry_Int_Tables_number 127
_symmetry_space_group_name_Hall '-P 4 2ab'
loop_
_atom_site_label
_atom_site_type_symbol
_atom_site_fract_x
_atom_site_fract_y
_atom_site_fract_z
_atom_site_occupancy
Mn1 Mn 0.113 0.387 0.000 1
Hg1 Hg 0.000 0.000 0.500 1
Cl1 Cl 0.135 0.635 0.500 1

no.,distance to the lowest polymorph of the same formula (eV/f.u.)
1,0.224
2,0.000
3,0.000